Here is a relaxed Sm4DyAs5 crystal from Alexandria. Energies are from PBE.

Energy relative to the elements, eV/atom: -1.53
Total energy, eV per atom: -6.201
M_tot, μB/atom: 0.000
Space-group type: No. 87
DOS at the Fermi energy, states/eV per cell: 0.7

Cell and atoms, written as CIF:
```
data_Sm4DyAs5
_space_group_name_H-M_alt 'P 1'
_space_group_IT_number 1
_space_group_name_Hall 'P 1'
_cell_length_a 5.9360
_cell_length_b 7.2693
_cell_length_c 7.2693
_cell_angle_alpha 80.40
_cell_angle_beta 65.90
_cell_angle_gamma 65.90
loop_
_atom_site_label
_atom_site_fract_x
_atom_site_fract_y
_atom_site_fract_z
As1 0.9019 0.3961 0.8020
As2 0.1001 0.6039 0.1980
As3 0.7040 0.1980 0.3961
As4 0.5011 0.0000 0.0000
As5 0.2981 0.8020 0.6039
Sm1 0.4019 0.3990 0.7992
Sm2 0.8009 0.7992 0.6010
Sm3 0.6001 0.6010 0.2008
Sm4 0.2011 0.2008 0.3990
Dy1 0.0012 0.0000 0.0000
```